Entry 1:
# Sb2PRu (GGA-PBE, optimized geometry)
data_Sb2PRu
_chemical_formula_sum 'Sb2 P1 Ru1'
_symmetry_space_group_name_H-M 'P 1'
_symmetry_Int_Tables_number 1
_cell_length_a 8.976
_cell_length_b 8.976
_cell_length_c 8.976
_cell_angle_alpha 21.20
_cell_angle_beta 21.20
_cell_angle_gamma 21.20
loop_
_symmetry_equiv_pos_as_xyz
'x,y,z'
loop_
_atom_site_label
_atom_site_type_symbol
_atom_site_fract_x
_atom_site_fract_y
_atom_site_fract_z
Ru1 Ru 0.238 0.238 0.238
Sb1 Sb 0.985 0.985 0.985
P1 P 0.521 0.521 0.521
Sb2 Sb 0.756 0.756 0.756
# * uncorrected energy: -5.668 eV/atom
# * volume: 20.72 A^3/atom
# * D(E_F): 2.8 states/eV per cell
# * space-group type: No. 160

***

Entry 2:
# SrSbPRu2 (GGA-PBE, optimized geometry)
data_SrSbPRu2
_chemical_formula_sum 'Sr1 Sb1 P1 Ru2'
_symmetry_space_group_name_H-M 'P 1'
_symmetry_Int_Tables_number 1
_cell_length_a 4.853
_cell_length_b 6.126
_cell_length_c 4.853
_cell_angle_alpha 90.00
_cell_angle_beta 90.00
_cell_angle_gamma 90.00
loop_
_symmetry_equiv_pos_as_xyz
'x,y,z'
loop_
_atom_site_label
_atom_site_type_symbol
_atom_site_fract_x
_atom_site_fract_y
_atom_site_fract_z
Ru1 Ru 0.500 0.000 0.000
Sr1 Sr 0.000 0.500 0.000
Sb1 Sb 0.000 0.000 0.000
P1 P 0.500 0.500 0.500
Ru2 Ru 0.000 0.000 0.500
# * uncorrected energy: -4.836 eV/atom
# * volume: 28.85 A^3/atom
# * D(E_F): 5.6 states/eV per cell
# * space-group type: No. 123

***

Entry 3:
# Sb2TePRu (GGA-PBE, optimized geometry)
data_Sb2TePRu
_chemical_formula_sum 'Sb2 Te1 P1 Ru1'
_symmetry_space_group_name_H-M 'P 1'
_symmetry_Int_Tables_number 1
_cell_length_a 5.064
_cell_length_b 5.064
_cell_length_c 5.191
_cell_angle_alpha 90.00
_cell_angle_beta 90.00
_cell_angle_gamma 90.00
loop_
_symmetry_equiv_pos_as_xyz
'x,y,z'
loop_
_atom_site_label
_atom_site_type_symbol
_atom_site_fract_x
_atom_site_fract_y
_atom_site_fract_z
Sb1 Sb 0.500 0.000 0.000
P1 P 0.500 0.500 0.500
Te1 Te 0.000 0.000 0.500
Ru1 Ru 0.000 0.000 0.000
Sb2 Sb 0.000 0.500 0.000
# * uncorrected energy: -4.488 eV/atom
# * distance to the lowest polymorph of the same formula: 0.000 kcal/mol of atoms
# * volume: 26.63 A^3/atom
# * D(E_F): 5.8 states/eV per cell
# * space-group type: No. 123

***

Entry 4:
# Sb2TePRu (GGA-PBE, optimized geometry)
data_Sb2TePRu
_chemical_formula_sum 'Sb2 Te1 P1 Ru1'
_symmetry_space_group_name_H-M 'P 1'
_symmetry_Int_Tables_number 1
_cell_length_a 4.960
_cell_length_b 4.960
_cell_length_c 5.140
_cell_angle_alpha 90.00
_cell_angle_beta 90.00
_cell_angle_gamma 90.00
loop_
_symmetry_equiv_pos_as_xyz
'x,y,z'
loop_
_atom_site_label
_atom_site_type_symbol
_atom_site_fract_x
_atom_site_fract_y
_atom_site_fract_z
Ru1 Ru 0.500 0.500 0.500
Sb1 Sb 0.000 0.500 0.000
Sb2 Sb 0.500 0.000 0.000
P1 P 0.000 0.000 0.000
Te1 Te 0.000 0.000 0.500
# * uncorrected energy: -4.073 eV/atom
# * distance to the lowest polymorph of the same formula: 9.563 kcal/mol of atoms
# * volume: 25.29 A^3/atom
# * D(E_F): 4.1 states/eV per cell
# * space-group type: No. 123

***

Entry 5:
# ScPRu (GGA-PBE, optimized geometry)
data_ScPRu
_chemical_formula_sum 'Sc1 P1 Ru1'
_symmetry_space_group_name_H-M 'P 1'
_symmetry_Int_Tables_number 1
_cell_length_a 4.102
_cell_length_b 4.102
_cell_length_c 3.240
_cell_angle_alpha 90.00
_cell_angle_beta 90.00
_cell_angle_gamma 120.00
loop_
_symmetry_equiv_pos_as_xyz
'x,y,z'
loop_
_atom_site_label
_atom_site_type_symbol
_atom_site_fract_x
_atom_site_fract_y
_atom_site_fract_z
Sc1 Sc 0.667 0.333 0.500
Ru1 Ru 0.000 0.000 0.000
P1 P 0.333 0.667 0.000
# * energy relative to the elements: -0.86 eV/atom
# * uncorrected energy: -7.867 eV/atom
# * volume: 15.74 A^3/atom
# * D(E_F): 3.9 states/eV per cell
# * space-group type: No. 187

***

Entry 6:
# ScP2Ru (GGA-PBE, optimized geometry)
data_ScP2Ru
_chemical_formula_sum 'Sc2 P4 Ru2'
_symmetry_space_group_name_H-M 'P 1'
_symmetry_Int_Tables_number 1
_cell_length_a 5.209
_cell_length_b 5.209
_cell_length_c 7.187
_cell_angle_alpha 68.75
_cell_angle_beta 68.75
_cell_angle_gamma 90.00
loop_
_symmetry_equiv_pos_as_xyz
'x,y,z'
loop_
_atom_site_label
_atom_site_type_symbol
_atom_site_fract_x
_atom_site_fract_y
_atom_site_fract_z
Sc1 Sc 0.250 0.750 0.500
Ru1 Ru 0.750 0.250 0.500
P1 P 0.683 0.125 0.250
P2 P 0.067 0.625 0.250
Sc2 Sc 0.500 0.500 0.000
Ru2 Ru 0.000 0.000 0.000
P3 P 0.875 0.933 0.750
P4 P 0.375 0.317 0.750
# * energy relative to the elements: -0.48 eV/atom
# * uncorrected energy: -7.084 eV/atom
# * distance to the lowest polymorph of the same formula: 7.810 kcal/mol of atoms
# * volume: 20.93 A^3/atom
# * D(E_F): 3.6 states/eV per cell
# * space-group type: No. 122

***

Entry 7:
# Sc2P3Ru (GGA-PBE, optimized geometry)
data_Sc2P3Ru
_chemical_formula_sum 'Sc4 P6 Ru2'
_symmetry_space_group_name_H-M 'P 1'
_symmetry_Int_Tables_number 1
_cell_length_a 5.255
_cell_length_b 5.257
_cell_length_c 7.592
_cell_angle_alpha 90.00
_cell_angle_beta 90.00
_cell_angle_gamma 60.01
loop_
_symmetry_equiv_pos_as_xyz
'x,y,z'
loop_
_atom_site_label
_atom_site_type_symbol
_atom_site_fract_x
_atom_site_fract_y
_atom_site_fract_z
P1 P 0.828 0.828 0.250
P2 P 0.172 0.172 0.750
P3 P 0.343 0.828 0.250
Sc1 Sc 0.333 0.333 0.061
Sc2 Sc 0.333 0.333 0.439
Ru1 Ru 0.000 0.000 0.000
Sc3 Sc 0.667 0.667 0.939
Sc4 Sc 0.667 0.667 0.561
Ru2 Ru 0.000 0.000 0.500
P4 P 0.171 0.657 0.750
P5 P 0.657 0.172 0.750
P6 P 0.829 0.343 0.250
# * energy relative to the elements: -0.57 eV/atom
# * uncorrected energy: -6.927 eV/atom
# * volume: 15.14 A^3/atom
# * D(E_F): 8.9 states/eV per cell
# * space-group type: No. 194

***

Entry 8:
# ScPRu (GGA-PBE, optimized geometry)
data_ScPRu
_chemical_formula_sum 'Sc1 P1 Ru1'
_symmetry_space_group_name_H-M 'P 1'
_symmetry_Int_Tables_number 1
_cell_length_a 4.142
_cell_length_b 4.142
_cell_length_c 4.142
_cell_angle_alpha 60.00
_cell_angle_beta 60.00
_cell_angle_gamma 60.00
loop_
_symmetry_equiv_pos_as_xyz
'x,y,z'
loop_
_atom_site_label
_atom_site_type_symbol
_atom_site_fract_x
_atom_site_fract_y
_atom_site_fract_z
Sc1 Sc 0.500 0.500 0.500
Ru1 Ru 0.000 0.000 0.000
P1 P 0.250 0.250 0.250
# * energy relative to the elements: -0.67 eV/atom
# * uncorrected energy: -7.672 eV/atom
# * volume: 16.75 A^3/atom
# * D(E_F): 3.8 states/eV per cell
# * space-group type: No. 216

***

Entry 9:
# ScP4Ru6 (GGA-PBE, optimized geometry)
data_ScP4Ru6
_chemical_formula_sum 'Sc1 P4 Ru6'
_symmetry_space_group_name_H-M 'P 1'
_symmetry_Int_Tables_number 1
_cell_length_a 6.930
_cell_length_b 6.930
_cell_length_c 3.679
_cell_angle_alpha 90.00
_cell_angle_beta 90.00
_cell_angle_gamma 120.00
loop_
_symmetry_equiv_pos_as_xyz
'x,y,z'
loop_
_atom_site_label
_atom_site_type_symbol
_atom_site_fract_x
_atom_site_fract_y
_atom_site_fract_z
Ru1 Ru 0.465 0.535 0.000
Ru2 Ru 0.071 0.535 0.000
Sc1 Sc 0.000 0.000 0.000
Ru3 Ru 0.465 0.929 0.000
Ru4 Ru 0.804 0.607 0.500
P1 P 0.187 0.374 0.500
Ru5 Ru 0.804 0.196 0.500
P2 P 0.187 0.813 0.500
P3 P 0.626 0.813 0.500
P4 P 0.667 0.333 0.000
Ru6 Ru 0.393 0.196 0.500
# * energy relative to the elements: -0.72 eV/atom
# * uncorrected energy: -8.327 eV/atom
# * volume: 13.91 A^3/atom
# * D(E_F): 6.7 states/eV per cell
# * space-group type: No. 187

***

Entry 10:
# ScPRu (GGA-PBE, optimized geometry)
data_ScPRu
_chemical_formula_sum 'Sc4 P4 Ru4'
_symmetry_space_group_name_H-M 'P 1'
_symmetry_Int_Tables_number 1
_cell_length_a 5.238
_cell_length_b 4.072
_cell_length_c 9.668
_cell_angle_alpha 90.00
_cell_angle_beta 105.02
_cell_angle_gamma 90.00
loop_
_symmetry_equiv_pos_as_xyz
'x,y,z'
loop_
_atom_site_label
_atom_site_type_symbol
_atom_site_fract_x
_atom_site_fract_y
_atom_site_fract_z
Sc1 Sc 0.597 0.500 0.094
Sc2 Sc 0.156 0.000 0.222
P1 P 0.681 0.500 0.795
P2 P 0.263 0.000 0.961
Ru1 Ru 0.052 0.000 0.492
P3 P 0.263 0.500 0.461
P4 P 0.681 0.000 0.295
Ru2 Ru 0.671 0.000 0.902
Ru3 Ru 0.052 0.500 0.992
Sc3 Sc 0.597 0.000 0.594
Ru4 Ru 0.671 0.500 0.402
Sc4 Sc 0.156 0.500 0.722
# * energy relative to the elements: -0.88 eV/atom
# * uncorrected energy: -7.890 eV/atom
# * volume: 16.60 A^3/atom
# * D(E_F): 7.2 states/eV per cell
# * space-group type: No. 8

***

Entry 11:
# ScP2Ru (GGA-PBE, optimized geometry)
data_ScP2Ru
_chemical_formula_sum 'Sc1 P2 Ru1'
_symmetry_space_group_name_H-M 'P 1'
_symmetry_Int_Tables_number 1
_cell_length_a 4.632
_cell_length_b 4.632
_cell_length_c 4.606
_cell_angle_alpha 76.42
_cell_angle_beta 76.42
_cell_angle_gamma 39.35
loop_
_symmetry_equiv_pos_as_xyz
'x,y,z'
loop_
_atom_site_label
_atom_site_type_symbol
_atom_site_fract_x
_atom_site_fract_y
_atom_site_fract_z
P1 P 0.003 0.003 0.995
Sc1 Sc 0.255 0.255 0.199
Ru1 Ru 0.484 0.484 0.599
P2 P 0.758 0.758 0.707
# * energy relative to the elements: -0.63 eV/atom
# * uncorrected energy: -7.237 eV/atom
# * distance to the lowest polymorph of the same formula: 4.294 kcal/mol of atoms
# * volume: 15.17 A^3/atom
# * D(E_F): 2.4 states/eV per cell
# * space-group type: No. 8

***

Entry 12:
# ScP2Ru (GGA-PBE, optimized geometry)
data_ScP2Ru
_chemical_formula_sum 'Sc1 P2 Ru1'
_symmetry_space_group_name_H-M 'P 1'
_symmetry_Int_Tables_number 1
_cell_length_a 4.402
_cell_length_b 4.402
_cell_length_c 4.402
_cell_angle_alpha 60.00
_cell_angle_beta 60.00
_cell_angle_gamma 60.00
loop_
_symmetry_equiv_pos_as_xyz
'x,y,z'
loop_
_atom_site_label
_atom_site_type_symbol
_atom_site_fract_x
_atom_site_fract_y
_atom_site_fract_z
Ru1 Ru 0.500 0.500 0.500
Sc1 Sc 0.250 0.250 0.250
P1 P 0.750 0.750 0.750
P2 P 0.000 0.000 0.000
# * energy relative to the elements: -0.18 eV/atom
# * uncorrected energy: -6.783 eV/atom
# * distance to the lowest polymorph of the same formula: 14.758 kcal/mol of atoms
# * volume: 15.08 A^3/atom
# * D(E_F): 1.7 states/eV per cell
# * space-group type: No. 216